1.
Ca2ScSi: optimized geometry, PBE.

```
Ca2ScSi
1.0
8.0329 0.0003 0.0005
-2.5929 3.7550 0.0053
2.8471 1.9629 3.3055
Si Ca Sc
1 2 1
Direct
0.5000 0.5000 0.0000
0.5000 0.0000 0.5000
0.0000 0.0000 0.0000
0.0000 0.5000 0.5000
```

Output
DOS(E_F) = 3.0 states/eV/cell
theoretical density = 2.55 g/cm³
magnetization = 0.00 μB/cell
uncorrected formation energy = -0.106 eV/atom

---

2.
CaScSi4: optimized geometry, PBE.

```
CaScSi4
1.0
3.9870 0.0000 0.0000
0.0000 7.4126 0.0000
0.0000 0.0000 15.8747
Sc Si Ca
4 16 4
Direct
0.0000 0.6264 0.0873
0.0000 0.3736 0.9127
0.0000 0.8736 0.5873
0.0000 0.1264 0.4127
0.5000 0.5424 0.8133
0.5000 0.9576 0.3133
0.5000 0.7267 0.6949
0.5000 0.6375 0.9587
0.5000 0.7733 0.1949
0.5000 0.3882 0.4458
0.5000 0.4576 0.1867
0.5000 0.0424 0.6867
0.5000 0.3625 0.0413
0.5000 0.8882 0.0542
0.5000 0.1375 0.5413
0.5000 0.2733 0.3051
0.5000 0.8625 0.4587
0.5000 0.2267 0.8051
0.5000 0.1118 0.9458
0.5000 0.6118 0.5542
0.0000 0.6175 0.3375
0.0000 0.8825 0.8375
0.0000 0.1175 0.1625
0.0000 0.3825 0.6625
```

Output
DOS(E_F) = 9.1 states/eV/cell
theoretical density = 2.79 g/cm³
magnetization = 0.00 μB/cell
distance to the lowest polymorph of the same formula = 0.00 eV/f.u.
uncorrected formation energy = -0.349 eV/atom

---

3.
CaScSiSn2: optimized geometry, PBE.

```
CaScSiSn2
1.0
5.4205 0.0000 0.0000
0.0000 5.4205 0.0000
0.0000 0.0000 5.6636
Sc Ca Sn Si
1 1 2 1
Direct
0.0000 0.0000 0.0000
0.0000 0.0000 0.5000
0.0000 0.5000 0.0000
0.5000 0.0000 0.0000
0.5000 0.5000 0.5000
```

Output
DOS(E_F) = 5.0 states/eV/cell
theoretical density = 3.50 g/cm³
magnetization = 0.23 μB/cell
uncorrected formation energy = 0.710 eV/atom

---

4.
CaSm2Sc: optimized geometry, PBE.

```
CaSm2Sc
1.0
-4.0676 2.6239 0.7143
-1.3655 -3.1553 3.8151
2.5065 2.9722 3.3554
Sm Sc Ca
2 1 1
Direct
0.0000 0.0000 0.5000
0.0000 0.5000 0.0000
0.5000 0.0000 0.0000
0.5000 0.5000 0.5000
```

Output
DOS(E_F) = 6.7 states/eV/cell
theoretical density = 4.96 g/cm³
magnetization = 0.00 μB/cell
calculated formation energy = 0.151 eV per atom
distance to the lowest polymorph of the same formula = 0.34 eV/f.u.

---

5.
CaSm2Sc: optimized geometry, PBE.

```
CaSm2Sc
1.0
-2.0693 2.7063 -0.8858
-0.5903 0.7273 -3.3931
-10.7829 -6.3876 -1.3193
Sm Sc Ca
2 1 1
Direct
0.0941 0.0941 0.7177
0.9059 0.9059 0.2823
0.5000 0.5000 0.5000
0.0000 0.0000 0.0000
```

Output
DOS(E_F) = 4.7 states/eV/cell
theoretical density = 4.80 g/cm³
magnetization = 0.00 μB/cell
calculated formation energy = 0.172 eV per atom
distance to the lowest polymorph of the same formula = 0.43 eV/f.u.

---

6.
CaSm2Sc: optimized geometry, PBE.

```
CaSm2Sc
1.0
-3.8344 0.6327 -0.3014
-0.6975 -3.6083 1.2991
-0.1546 3.0200 8.3053
Sc Sm Ca
1 2 1
Direct
0.5000 0.5000 0.0000
0.0000 0.0000 0.7926
0.0000 0.0000 0.2074
0.5000 0.5000 0.5000
```

Output
DOS(E_F) = 4.6 states/eV/cell
theoretical density = 4.77 g/cm³
magnetization = 0.00 μB/cell
calculated formation energy = 0.065 eV per atom
distance to the lowest polymorph of the same formula = 0.00 eV/f.u.